Record 1
# Ga2Ag5Sn2, optimized geometry, DFT GGA-PBE
data_Ga2Ag5Sn2
_cell_length_a 5.273
_cell_length_b 5.818
_cell_length_c 6.981
_cell_angle_alpha 70.28
_cell_angle_beta 69.50
_cell_angle_gamma 72.26
_space_group_name_H-M_alt 'P -1'
_space_group_IT_number 2
loop_
_space_group_symop_operation_xyz
'x,y,z'
'-x,-y,-z'
loop_
_atom_site_label
_atom_site_fract_x
_atom_site_fract_y
_atom_site_fract_z
Ga1 0.161 0.167 0.340
Ag1 0.000 0.500 0.000
Ag2 0.243 0.398 0.600
Ag3 0.318 0.853 0.699
Sn1 0.343 0.729 0.148
# DFT total energy in eV/f.u.: -27.928
# V in Å³/cell: 184.6
# Density in Mg/m³: 8.243


Record 2
# NaInAgBr3, optimized geometry, DFT GGA-PBE
data_NaInAgBr3
_cell_length_a 8.994
_cell_length_b 4.409
_cell_length_c 9.864
_cell_angle_alpha 90.00
_cell_angle_beta 102.74
_cell_angle_gamma 90.00
_space_group_name_H-M_alt 'P 1 21/m 1'
_space_group_IT_number 11
loop_
_space_group_symop_operation_xyz
'x,y,z'
'-x,-y,-z'
'-x,y+1/2,-z'
'x,-y+1/2,z'
loop_
_atom_site_label
_atom_site_fract_x
_atom_site_fract_y
_atom_site_fract_z
Na1 0.160 0.250 0.146
In1 0.302 0.750 0.789
Ag1 0.424 0.750 0.408
Br1 0.065 0.250 0.839
Br2 0.265 0.250 0.470
Br3 0.388 0.750 0.128
# V in Å³/cell: 381.5
# Raw formation energy in eV per atom: -0.84
# Density in Mg/m³: 4.225


Record 3
# TmBeCo2, optimized geometry, DFT GGA-PBE
data_TmBeCo2
_cell_length_a 4.703
_cell_length_b 4.376
_cell_length_c 11.335
_cell_angle_alpha 90.00
_cell_angle_beta 90.00
_cell_angle_gamma 90.00
_space_group_name_H-M_alt 'P m m a'
_space_group_IT_number 51
loop_
_space_group_symop_operation_xyz
'x,y,z'
'-x,-y,-z'
'-x+1/2,-y,z'
'x+1/2,y,-z'
'x+1/2,-y,-z'
'-x+1/2,y,z'
'-x,y,-z'
'x,-y,z'
loop_
_atom_site_label
_atom_site_fract_x
_atom_site_fract_y
_atom_site_fract_z
Tm1 0.250 0.000 0.094
Tm2 0.250 0.500 0.311
Be1 0.250 0.000 0.661
Be2 0.250 0.500 0.550
Co1 0.000 0.000 0.500
Co2 0.000 0.500 0.000
Co3 0.250 0.252 0.827
# Energy above the most stable polymorph in this dataset in meV per atom: 175
# V in Å³/cell: 233.3
# Density in Mg/m³: 8.422


Record 4
# Sr4Ga3Ge, optimized geometry, DFT GGA-PBE
data_Sr4Ga3Ge
_cell_length_a 4.402
_cell_length_b 4.757
_cell_length_c 11.867
_cell_angle_alpha 90.00
_cell_angle_beta 90.00
_cell_angle_gamma 90.00
_space_group_name_H-M_alt 'P m m 2'
_space_group_IT_number 25
loop_
_space_group_symop_operation_xyz
'x,y,z'
'-x,-y,z'
'-x,y,z'
'x,-y,z'
loop_
_atom_site_label
_atom_site_fract_x
_atom_site_fract_y
_atom_site_fract_z
Sr1 0.000 0.000 0.000
Sr2 0.000 0.500 0.494
Sr3 0.500 0.000 0.714
Sr4 0.500 0.500 0.216
Ga1 0.000 0.500 0.797
Ga2 0.500 0.000 0.420
Ga3 0.500 0.500 0.915
Ge1 0.000 0.000 0.287
# DFT total energy in eV/f.u.: -24.244
# V in Å³/cell: 248.5
# Density in Mg/m³: 4.226


Record 5
# AsRuPt2, optimized geometry, DFT GGA-PBE
data_AsRuPt2
_cell_length_a 2.901
_cell_length_b 4.541
_cell_length_c 4.722
_cell_angle_alpha 90.00
_cell_angle_beta 90.00
_cell_angle_gamma 90.00
_space_group_name_H-M_alt 'P m m m'
_space_group_IT_number 47
loop_
_space_group_symop_operation_xyz
'x,y,z'
'-x,-y,-z'
'-x,-y,z'
'x,y,-z'
'x,-y,-z'
'-x,y,z'
'-x,y,-z'
'x,-y,z'
loop_
_atom_site_label
_atom_site_fract_x
_atom_site_fract_y
_atom_site_fract_z
As1 0.000 0.000 0.000
Ru1 0.500 0.500 0.000
Pt1 0.000 0.500 0.500
Pt2 0.500 0.000 0.500
# DFT total energy in eV/f.u.: -25.563
# V in Å³/cell: 62.2
# Density in Mg/m³: 15.111


Record 6
# Cr2IrRh, optimized geometry, DFT GGA-PBE
data_Cr2IrRh
_cell_length_a 2.681
_cell_length_b 4.211
_cell_length_c 4.613
_cell_angle_alpha 90.00
_cell_angle_beta 90.00
_cell_angle_gamma 90.00
_space_group_name_H-M_alt 'P m m 2'
_space_group_IT_number 25
loop_
_space_group_symop_operation_xyz
'x,y,z'
'-x,-y,z'
'-x,y,z'
'x,-y,z'
loop_
_atom_site_label
_atom_site_fract_x
_atom_site_fract_y
_atom_site_fract_z
Cr1 0.000 0.000 0.000
Cr2 0.000 0.500 0.326
Ir1 0.500 0.500 0.846
Rh1 0.500 0.000 0.479
# DFT total energy in eV/f.u.: -36.126
# V in Å³/cell: 52.1
# Density in Mg/m³: 12.726


Among the records above, which one has the highest density?
AsRuPt2